Record 1
This record from Alexandria describes an optimized crystal structure of LiGeP. The functional is PBE.

## Properties
Energy relative to the lowest polymorph listed for this composition: 0 meV per atom
Uncorrected energy: -4.300 eV/atom
Calculated density: 3.2 g cm⁻³
ΔH_f (0 K): -0.32 eV/atom

a b c (Å): 3.5240 4.2325 7.8985
angles (deg): 90.00 102.79 90.00
Space group P2_1 (No. 4)
One atom of each set of equivalent atoms:
Li 0.1889 0.0000 0.3737
Ge 0.0475 0.4980 0.0942
P 0.3536 0.9998 0.7065

=====

Record 2
This record from Alexandria describes an optimized crystal structure of ScIn2Te4. The functional is PBE.

## Properties
Uncorrected energy: -3.896 eV/atom
Calculated density: 5.1 g cm⁻³

a b c (Å): 8.2252 8.2252 7.5003
angles (deg): 90.00 90.00 90.00
Space group I4/m (No. 87)
One atom of each set of equivalent atoms:
Sc 0.0000 0.0000 0.0000
In 0.0000 0.5000 0.2500
Te 0.1844 0.2997 0.0000

=====

Record 3
This record from Alexandria describes an optimized crystal structure of CdPBr. The functional is PBE.

## Properties
Energy relative to the lowest polymorph listed for this composition: 0 meV per atom
Uncorrected energy: -2.957 eV/atom
Calculated density: 3.7 g cm⁻³

a b c (Å): 6.0732 4.6490 7.5915
angles (deg): 90.00 111.09 90.00
Space group P2/m (No. 10)
One atom of each set of equivalent atoms:
Cd 0.1782 0.0000 0.2946
P 0.0776 0.5000 0.1423
Br 0.3299 0.0000 0.6737

=====

Record 4
This record from Alexandria describes an optimized crystal structure of Sr6ZnPd. The functional is PBE.

## Properties
Uncorrected energy: -2.277 eV/atom
Calculated density: 3.2 g cm⁻³
ΔH_f (0 K): -0.21 eV/atom

a b c (Å): 7.5964 7.5964 14.5389
angles (deg): 90.00 90.00 120.00
Space group P-31c (No. 163)
One atom of each set of equivalent atoms:
Sr 0.0052 0.3287 0.1213
Zn 0.3333 0.6667 0.7500
Pd 0.0000 0.0000 0.0000

=====

Record 5
This record from Alexandria describes an optimized crystal structure of Pr5Ho2Tl. The functional is PBE.

## Properties
Energy relative to the lowest polymorph listed for this composition: 0 meV per atom
Uncorrected energy: -4.472 eV/atom
Calculated density: 7.8 g cm⁻³
ΔH_f (0 K): -0.04 eV/atom

a b c (Å): 7.2257 14.5089 5.0472
angles (deg): 90.00 90.00 90.00
Space group Pbam (No. 55)
One atom of each set of equivalent atoms:
Pr 0.0000 0.0000 0.0000
Pr 0.0032 0.2618 0.0000
Pr 0.2461 0.1270 0.5000
Ho 0.2501 0.3788 0.5000
Tl 0.0000 0.5000 0.0000

=====

Record 6
This record from Alexandria describes an optimized crystal structure of InAu2N. The functional is PBE.

## Properties
Energy relative to the lowest polymorph listed for this composition: 446 meV per atom
Uncorrected energy: -3.447 eV/atom
Calculated density: 13.1 g cm⁻³

a b c (Å): 6.4210 6.4210 6.4210
angles (deg): 90.00 90.00 90.00
Space group Fm-3m (No. 225)
One atom of each set of equivalent atoms:
In 0.0000 0.0000 0.0000
Au 0.2500 0.2500 0.2500
N 0.0000 0.0000 0.5000

=====

Record 7
This record from Alexandria describes an optimized crystal structure of Li4Bi3O8. The functional is PBE.

## Properties
Energy relative to the lowest polymorph listed for this composition: 70 meV per atom
Uncorrected energy: -5.230 eV/atom
Calculated density: 6.6 g cm⁻³

a b c (Å): 8.6617 9.3275 6.4535
angles (deg): 90.00 131.41 90.00
Space group C2/m (No. 12)
One atom of each set of equivalent atoms:
Li 0.0000 0.0000 0.0000
Li 0.0000 0.5000 0.5000
Li 0.2500 0.2500 0.0000
Bi 0.0000 0.5000 0.0000
Bi 0.2500 0.2500 0.5000
O 0.0000 0.2557 0.0000
O 0.0000 0.2690 0.5000
O 0.2231 0.5000 0.9707
O 0.2258 0.5000 0.4620

=====

Record 8
This record from Alexandria describes an optimized crystal structure of LaPr3Dy. The functional is PBE.

## Properties
Energy relative to the lowest polymorph listed for this composition: 0 meV per atom
Uncorrected energy: -4.602 eV/atom
Calculated density: 6.7 g cm⁻³
ΔH_f (0 K): 0.17 eV/atom

a b c (Å): 17.8178 6.9380 6.1560
angles (deg): 90.00 110.13 90.00
Space group C2/m (No. 12)
One atom of each set of equivalent atoms:
La 0.0000 0.0000 0.0000
La 0.0000 0.0000 0.5000
Pr 0.1526 0.2676 0.4023
Pr 0.2264 0.0000 0.9758
Dy 0.0504 0.5000 0.8004